(1)
This record from Alexandria via LeMat-Bulk describes a relaxed structure of DyEr2In2. The functional is PBE.

a b c (Å): 8.4160 8.4160 6.4758
angles (deg): 90.00 90.00 143.19
With the nearest neighbours (Å) after each atom.
Fractional coordinates of all 10 atoms:
Dy 0.0979 0.9021 0.5000  6 In 3.15-3.53, 2 Er 3.50
Dy 0.9021 0.0979 0.0000  6 In 3.15-3.53, 2 Er 3.50
Er 0.3030 0.6970 0.7299  6 In 3.02-3.36
Er 0.4746 0.5254 0.3026  3 In 3.04-3.23, 2 Er 3.34
Er 0.5254 0.4746 0.8026  3 In 3.04-3.23, 2 Er 3.34
Er 0.6970 0.3030 0.2299  6 In 3.02-3.36
In 0.1023 0.8977 0.0131  3 Dy 3.15-3.32, 4 Er 3.23-3.36, 1 In 3.24
In 0.2870 0.7130 0.2191  5 Er 3.02-3.32, 1 In 3.24
In 0.7130 0.2870 0.7191  5 Er 3.02-3.32, 1 In 3.24
In 0.8977 0.1023 0.5131  3 Dy 3.15-3.32, 4 Er 3.23-3.36, 1 In 3.24

ΔE_f = -316 meV/atom
offset from the most stable computed form = 0.058 eV per atom
mass density = 8.8 g/cm³

(2)
This record from Alexandria via LeMat-Bulk describes a relaxed structure of K2InRh. The functional is PBE.

a b c (Å): 6.3778 6.3778 6.3778
angles (deg): 140.54 140.54 57.03
With the nearest neighbours (Å) after each atom.
Fractional coordinates of all 4 atoms:
K 0.2500 0.7500 0.5000  4 K 3.04
K 0.7500 0.2500 0.5000  4 K 3.04
In 0.0000 0.0000 0.0000  4 Rh 3.04
Rh 0.5000 0.5000 0.0000  4 In 3.04

ΔE_f = 394 meV/atom
mass density = 4.7 g/cm³

(3)
This record from Alexandria via LeMat-Bulk describes a relaxed structure of BeBr2Cl. The functional is PBE.

a b c (Å): 11.3343 11.3343 11.3343
angles (deg): 17.39 17.39 17.39
With the nearest neighbours (Å) after each atom.
Fractional coordinates of all 4 atoms:
Be 0.0000 0.0000 0.0000  6 Br 2.42
Br 0.3749 0.3749 0.3749  3 Be 2.42
Br 0.6251 0.6251 0.6251  3 Be 2.42
Cl 0.5000 0.5000 0.5000  6 Cl 3.43

offset from the most stable computed form = 0.387 eV per atom
raw formation energy = -7.12 kcal/mol of atoms
mass density = 3.0 g/cm³

(4)
This record from Alexandria via LeMat-Bulk describes a relaxed structure of YLuAg. The functional is PBE.

a b c (Å): 5.0017 5.0017 3.6556
angles (deg): 90.00 90.00 120.00
With the nearest neighbours (Å) after each atom.
Fractional coordinates of all 3 atoms:
Y 0.0000 0.0000 0.0000  3 Ag 3.11, 6 Lu 3.36-3.48
Lu 0.3333 0.6667 0.5325  3 Ag 2.99
Ag 0.6667 0.3333 0.3178  3 Lu 2.99, 3 Y 3.11

ΔE_f = -44 meV/atom
offset from the most stable computed form = 0.143 eV per atom
mass density = 7.8 g/cm³

(5)
This record from Alexandria via LeMat-Bulk describes a relaxed structure of ScTl2Cl. The functional is PBE.

a b c (Å): 3.7241 3.7241 7.4752
angles (deg): 90.00 90.00 90.00
With the nearest neighbours (Å) after each atom.
Fractional coordinates of all 4 atoms:
Sc 0.0000 0.0000 0.0000  8 Tl 3.15
Tl 0.5000 0.5000 0.2321  4 Sc 3.15, 4 Cl 3.31, 1 Tl 3.47
Tl 0.5000 0.5000 0.7679  4 Sc 3.15, 4 Cl 3.31, 1 Tl 3.47
Cl 0.0000 0.0000 0.5000  8 Tl 3.31

raw formation energy = -4.18 kcal/mol of atoms
mass density = 7.8 g/cm³

(6)
This record from Alexandria via LeMat-Bulk describes a relaxed structure of NaOsPt2. The functional is PBE.

a b c (Å): 7.7709 7.7709 7.7709
angles (deg): 136.33 136.33 63.47
With the nearest neighbours (Å) after each atom.
Fractional coordinates of all 8 atoms:
Na 0.0000 0.0000 0.0000  4 Pt 2.91
Na 0.7500 0.2500 0.5000  4 Pt 2.91
Os 0.2500 0.7500 0.5000  4 Pt 2.40
Os 0.5000 0.5000 0.0000  4 Pt 2.40
Pt 0.2067 0.6250 0.0817  2 Os 2.40
Pt 0.3750 0.4567 0.5817  2 Os 2.40
Pt 0.5433 0.1250 0.9183  2 Os 2.40
Pt 0.8750 0.7933 0.4183  2 Os 2.40

ΔE_f = 977 meV/atom
offset from the most stable computed form = 0.493 eV per atom
mass density = 9.1 g/cm³

(7)
This record from Alexandria via LeMat-Bulk describes a relaxed structure of Pm3BeSb. The functional is PBE.

a b c (Å): 5.2590 5.2590 5.2590
angles (deg): 90.00 90.00 90.00
With the nearest neighbours (Å) after each atom.
Fractional coordinates of all 5 atoms:
Pm 0.0000 0.0000 0.5000  2 Be 2.63
Pm 0.0000 0.5000 0.0000  2 Be 2.63
Pm 0.5000 0.0000 0.0000  2 Be 2.63
Be 0.0000 0.0000 0.0000  6 Pm 2.63
Sb 0.5000 0.5000 0.5000  12 Pm 3.72

raw formation energy = -4.20 kcal/mol of atoms
mass density = 6.5 g/cm³

(8)
This record from Alexandria via LeMat-Bulk describes a relaxed structure of TbSc2Sb. The functional is PBE.

a b c (Å): 4.6246 4.6246 4.5233
angles (deg): 90.00 90.00 90.00
With the nearest neighbours (Å) after each atom.
Fractional coordinates of all 4 atoms:
Tb 0.0000 0.0000 0.0000  8 Sc 3.23, 4 Sb 3.27
Sc 0.0000 0.5000 0.5000  4 Sb 3.23, 4 Tb 3.23, 4 Sc 3.27
Sc 0.5000 0.0000 0.5000  4 Sb 3.23, 4 Tb 3.23, 4 Sc 3.27
Sb 0.5000 0.5000 0.0000  8 Sc 3.23, 4 Tb 3.27

offset from the most stable computed form = 0.095 eV per atom
raw formation energy = -10.75 kcal/mol of atoms
mass density = 6.4 g/cm³

(9)
This record from Alexandria via LeMat-Bulk describes a relaxed structure of ZrAgMo2Os. The functional is PBE.

a b c (Å): 4.7950 4.7950 4.8213
angles (deg): 90.00 90.00 90.00
With the nearest neighbours (Å) after each atom.
Fractional coordinates of all 5 atoms:
Zr 0.0000 0.0000 0.0000  4 Mo 2.40, 2 Os 2.41
Ag 0.5000 0.5000 0.5000  4 Os 3.39, 8 Mo 3.40
Mo 0.0000 0.5000 0.0000  2 Zr 2.40
Mo 0.5000 0.0000 0.0000  2 Zr 2.40
Os 0.0000 0.0000 0.5000  2 Zr 2.41

ΔE_f = 2153 meV/atom
mass density = 8.7 g/cm³

(10)
This record from Alexandria via LeMat-Bulk describes a relaxed structure of PRu3Pb. The functional is PBE.

a b c (Å): 4.4165 4.4165 4.4165
angles (deg): 90.00 90.00 90.00
With the nearest neighbours (Å) after each atom.
Fractional coordinates of all 5 atoms:
P 0.0000 0.0000 0.0000  6 Ru 2.21
Ru 0.0000 0.0000 0.5000  2 P 2.21
Ru 0.0000 0.5000 0.0000  2 P 2.21
Ru 0.5000 0.0000 0.0000  2 P 2.21
Pb 0.5000 0.5000 0.5000  12 Ru 3.12

ΔE_f = 310 meV/atom
offset from the most stable computed form = 0.000 eV per atom
mass density = 10.4 g/cm³

(11)
This record from Alexandria via LeMat-Bulk describes a relaxed structure of KPr2Y3Te6. The functional is PBE.

a b c (Å): 10.1186 10.1186 9.1585
angles (deg): 104.34 104.34 25.23
With the nearest neighbours (Å) after each atom.
Fractional coordinates of all 12 atoms:
K 0.0000 0.0000 0.0000  6 Te 3.30-3.32
Pr 0.3275 0.3275 0.6517  6 Te 3.19-3.32
Pr 0.6725 0.6725 0.3483  6 Te 3.19-3.32
Y 0.0000 0.0000 0.5000  6 Te 3.07-3.08
Y 0.3356 0.3356 0.1748  6 Te 3.06-3.18
Y 0.6644 0.6644 0.8252  6 Te 3.06-3.18
Te 0.1614 0.1614 0.5924  3 Y 3.06-3.08, 3 Pr 3.19
Te 0.1736 0.1736 0.0785  3 Y 3.10-3.18, 1 K 3.32, 2 Pr 3.32
Te 0.4997 0.4997 0.2669  3 Y 3.07-3.14, 2 K 3.30, 1 Pr 3.30
Te 0.5003 0.5003 0.7331  3 Y 3.07-3.14, 2 K 3.30, 1 Pr 3.30
Te 0.8264 0.8264 0.9215  3 Y 3.10-3.18, 1 K 3.32, 2 Pr 3.32
Te 0.8386 0.8386 0.4076  3 Y 3.06-3.08, 3 Pr 3.19

raw formation energy = -31.74 kcal/mol of atoms
mass density = 5.8 g/cm³

(12)
This record from Alexandria via LeMat-Bulk describes a relaxed structure of SmMg2Hg6. The functional is PBE.

a b c (Å): 5.0464 5.0464 9.8252
angles (deg): 90.00 90.00 120.00
With the nearest neighbours (Å) after each atom.
Fractional coordinates of all 9 atoms:
Sm 0.0000 0.0000 0.0000  8 Hg 3.18-3.19
Mg 0.3333 0.6667 0.2207  7 Hg 3.05-3.24
Mg 0.6667 0.3333 0.7793  7 Hg 3.05-3.24
Hg 0.0000 0.0000 0.3247  3 Mg 3.09, 4 Hg 3.16-3.44, 1 Sm 3.19
Hg 0.0000 0.0000 0.6753  3 Mg 3.09, 4 Hg 3.16-3.44, 1 Sm 3.19
Hg 0.3333 0.6667 0.5509  7 Hg 3.08-3.16, 1 Mg 3.24
Hg 0.3333 0.6667 0.8711  3 Mg 3.05, 1 Hg 3.15, 3 Sm 3.18
Hg 0.6667 0.3333 0.1289  3 Mg 3.05, 1 Hg 3.15, 3 Sm 3.18
Hg 0.6667 0.3333 0.4491  7 Hg 3.08-3.16, 1 Mg 3.24

ΔE_f = -215 meV/atom
mass density = 10.7 g/cm³

(13)
This record from Alexandria via LeMat-Bulk describes a relaxed structure of NaSrY2. The functional is PBE.

a b c (Å): 7.4201 7.4201 7.4201
angles (deg): 101.91 101.91 125.96
With the nearest neighbours (Å) after each atom.
Fractional coordinates of all 8 atoms:
Na 0.0000 0.0000 0.0000  4 Y 3.22, 2 Sr 3.37
Na 0.7500 0.2500 0.5000  4 Y 3.22, 2 Sr 3.37
Sr 0.2500 0.7500 0.5000  2 Na 3.37, 4 Y 3.61
Sr 0.5000 0.5000 0.0000  2 Na 3.37, 4 Y 3.61
Y 0.0946 0.6250 0.9696  2 Na 3.22, 2 Y 3.42
Y 0.3750 0.3446 0.4696  2 Na 3.22, 2 Y 3.42
Y 0.6554 0.1250 0.0304  2 Na 3.22, 2 Y 3.42
Y 0.8750 0.9054 0.5304  2 Na 3.22, 2 Y 3.42

ΔE_f = 532 meV/atom
offset from the most stable computed form = 0.135 eV per atom
mass density = 3.3 g/cm³

(14)
This record from Alexandria via LeMat-Bulk describes a relaxed structure of Rh3WSe. The functional is PBE.

a b c (Å): 4.7207 4.7207 4.7207
angles (deg): 90.00 90.00 90.00
With the nearest neighbours (Å) after each atom.
Fractional coordinates of all 5 atoms:
Rh 0.0000 0.0000 0.5000  2 W 2.36
Rh 0.0000 0.5000 0.0000  2 W 2.36
Rh 0.5000 0.0000 0.0000  2 W 2.36
W 0.0000 0.0000 0.0000  6 Rh 2.36
Se 0.5000 0.5000 0.5000  12 Rh 3.34

offset from the most stable computed form = 0.072 eV per atom
raw formation energy = 27.53 kcal/mol of atoms
mass density = 9.0 g/cm³

(15)
This record from Alexandria via LeMat-Bulk describes a relaxed structure of AsIrRh2. The functional is PBE.

a b c (Å): 8.5134 8.5134 8.5134
angles (deg): 19.34 19.34 19.34
With the nearest neighbours (Å) after each atom.
Fractional coordinates of all 4 atoms:
As 0.0000 0.0000 0.0000  3 Rh 2.54, 3 Ir 2.58
Ir 0.7457 0.7457 0.7457  3 As 2.58, 3 Rh 2.75, 6 Ir 2.86
Rh 0.2561 0.2561 0.2561  3 As 2.54, 3 Rh 2.78
Rh 0.5003 0.5003 0.5003  3 Ir 2.75, 9 Rh 2.78-2.86

ΔE_f = 79 meV/atom
mass density = 13.3 g/cm³

(16)
This record from Alexandria via LeMat-Bulk describes a relaxed structure of InAg3Br. The functional is PBE.

a b c (Å): 5.3211 5.3211 5.3211
angles (deg): 90.00 90.00 90.00
With the nearest neighbours (Å) after each atom.
Fractional coordinates of all 5 atoms:
In 0.0000 0.0000 0.0000  6 Ag 2.66
Ag 0.0000 0.0000 0.5000  2 In 2.66
Ag 0.0000 0.5000 0.0000  2 In 2.66
Ag 0.5000 0.0000 0.0000  2 In 2.66
Br 0.5000 0.5000 0.5000  12 Ag 3.76

offset from the most stable computed form = 0.000 eV per atom
raw formation energy = 12.05 kcal/mol of atoms
mass density = 5.7 g/cm³

(17)
This record from Alexandria via LeMat-Bulk describes a relaxed structure of Pu4Sb2O. The functional is PBE.

a b c (Å): 8.8388 8.8388 8.8388
angles (deg): 149.07 149.07 44.31
With the nearest neighbours (Å) after each atom.
Fractional coordinates of all 7 atoms:
Pu 0.0000 0.5000 0.5000  2 O 2.36
Pu 0.1656 0.1656 0.0000  1 O 2.71
Pu 0.5000 0.0000 0.5000  2 O 2.36
Pu 0.8344 0.8344 0.0000  1 O 2.71
Sb 0.3595 0.3595 0.0000  9 Pu 3.17-3.36
Sb 0.6405 0.6405 0.0000  9 Pu 3.17-3.36
O 0.0000 0.0000 0.0000  4 Pu 2.36

raw formation energy = -25.40 kcal/mol of atoms
mass density = 11.3 g/cm³

(18)
This record from Alexandria via LeMat-Bulk describes a relaxed structure of LiAcIrO4. The functional is PBE.

a b c (Å): 6.8522 6.8522 6.8522
angles (deg): 122.69 107.41 99.24
With the nearest neighbours (Å) after each atom.
Fractional coordinates of all 14 atoms:
Li 0.2572 0.0072 0.2500  2 O 1.83
Li 0.7428 0.9928 0.7500  2 O 1.83
Ac 0.0000 0.5000 0.5000  6 O 2.50-2.52
Ac 0.5000 0.5000 0.0000  6 O 2.50-2.52
Ir 0.5000 0.0000 0.0000  6 O 2.06-2.07
Ir 0.5000 0.5000 0.5000  6 O 2.06-2.07
O 0.2687 0.2972 0.5285  1 Li 1.83
O 0.2687 0.7402 0.9715  1 Li 1.83
O 0.3276 0.2305 0.0972  2 Ir 2.07
O 0.3667 0.7695 0.5972  2 Ir 2.07
O 0.6333 0.2305 0.4028  2 Ir 2.07
O 0.6724 0.7695 0.9028  2 Ir 2.07
O 0.7313 0.2598 0.0285  1 Li 1.83
O 0.7313 0.7028 0.4715  1 Li 1.83

raw formation energy = -42.97 kcal/mol of atoms
mass density = 6.9 g/cm³

(19)
This record from Alexandria via LeMat-Bulk describes a relaxed structure of Tb6TePt2Se3. The functional is PBE.

a b c (Å): 9.4469 9.4469 8.5348
angles (deg): 105.19 105.19 24.96
With the nearest neighbours (Å) after each atom.
Fractional coordinates of all 12 atoms:
Tb 0.0106 0.0106 0.2713  1 Pt 2.85, 3 Se 2.87-3.02, 2 Te 3.05
Tb 0.3239 0.3239 0.8800  2 Pt 2.85, 3 Se 2.98-3.05, 1 Te 3.13
Tb 0.3317 0.3317 0.4172  3 Pt 2.86, 3 Se 2.99-3.08
Tb 0.6683 0.6683 0.5828  3 Pt 2.86, 3 Se 2.99-3.08
Tb 0.6761 0.6761 0.1200  2 Pt 2.85, 3 Se 2.98-3.05, 1 Te 3.13
Tb 0.9894 0.9894 0.7287  1 Pt 2.85, 3 Se 2.87-3.02, 2 Te 3.05
Te 0.5000 0.5000 0.0000  6 Tb 3.05-3.13
Pt 0.1710 0.1710 0.3495  6 Tb 2.85-2.86
Pt 0.8290 0.8290 0.6505  6 Tb 2.85-2.86
Se 0.1588 0.1588 0.8467  6 Tb 2.98-3.08
Se 0.5000 0.5000 0.5000  6 Tb 2.87-2.99
Se 0.8412 0.8412 0.1533  6 Tb 2.98-3.08

raw formation energy = -34.80 kcal/mol of atoms
mass density = 9.2 g/cm³

(20)
This record from Alexandria via LeMat-Bulk describes a relaxed structure of BaZn2Cu. The functional is PBE.

a b c (Å): 4.3387 4.3716 5.6004
angles (deg): 90.00 103.71 90.00
With the nearest neighbours (Å) after each atom.
Fractional coordinates of all 4 atoms:
Ba 0.0000 0.0000 0.0000  2 Cu 3.11, 4 Zn 3.48
Zn 0.2937 0.5000 0.6237  2 Zn 2.51-2.60, 2 Cu 2.52
Zn 0.7063 0.5000 0.3763  2 Zn 2.51-2.60, 2 Cu 2.52
Cu 0.5000 0.0000 0.5000  4 Zn 2.52

ΔE_f = -19 meV/atom
mass density = 5.3 g/cm³

(21)
This record from Alexandria via LeMat-Bulk describes a relaxed structure of SrFe2Ag. The functional is PBE.

a b c (Å): 4.8216 4.8216 4.8216
angles (deg): 60.00 60.00 60.00
With the nearest neighbours (Å) after each atom.
Fractional coordinates of all 4 atoms:
Sr 0.0000 0.0000 0.0000  4 Fe 2.95, 4 Ag 2.95
Fe 0.5000 0.5000 0.5000  4 Fe 2.95, 4 Ag 2.95
Fe 0.7500 0.7500 0.7500  4 Fe 2.95, 4 Sr 2.95
Ag 0.2500 0.2500 0.2500  4 Fe 2.95, 4 Sr 2.95

ΔE_f = 679 meV/atom
mass density = 6.4 g/cm³

(22)
This record from Alexandria via LeMat-Bulk describes a relaxed structure of Cu2SeBr. The functional is PBE.

a b c (Å): 4.6493 4.6493 7.1774
angles (deg): 90.00 90.00 136.71
With the nearest neighbours (Å) after each atom.
Fractional coordinates of all 4 atoms:
Cu 0.0000 0.0000 0.2335  2 Se 2.40, 2 Br 2.57
Cu 0.0000 0.0000 0.7665  2 Se 2.40, 2 Br 2.57
Se 0.5000 0.5000 0.0000  4 Cu 2.40
Br 0.5000 0.5000 0.5000  4 Cu 2.57

offset from the most stable computed form = 0.242 eV per atom
raw formation energy = 1.05 kcal/mol of atoms
mass density = 4.5 g/cm³